[1]
DFT (PBE) results for an optimized crystal structure of CsCeMoN4.

POSCAR file:
```
CsCeMoN4
1.0
6.245 0.000 0.000
0.000 6.094 0.000
-2.508 0.000 8.050
Cs Ce Mo N
2 2 2 8
direct
0.207 0.250 0.431
0.793 0.750 0.569
0.298 0.250 0.951
0.702 0.750 0.049
0.235 0.750 0.141
0.765 0.250 0.859
0.024 0.750 0.936
0.036 0.750 0.270
0.436 0.516 0.150
0.436 0.984 0.150
0.564 0.016 0.850
0.564 0.484 0.850
0.964 0.250 0.730
0.976 0.250 0.064
```

**Total moment**: 0.151 μB/atom
**Raw formation energy**: -46.0 kJ per mole of atoms
**SG**: No. 11
**Crystal system**: monoclinic


[2]
DFT (PBE) results for an optimized crystal structure of DyYInRh.

POSCAR file:
```
DyYInRh
1.0
7.215 0.000 0.000
0.000 7.215 0.000
0.000 0.000 7.215
Dy Y In Rh
4 4 4 4
direct
0.000 0.000 0.000
0.000 0.500 0.500
0.500 0.000 0.500
0.500 0.500 0.000
0.000 0.000 0.500
0.000 0.500 0.000
0.500 0.000 0.000
0.500 0.500 0.500
0.250 0.250 0.750
0.250 0.750 0.250
0.750 0.250 0.250
0.750 0.750 0.750
0.250 0.250 0.250
0.250 0.750 0.750
0.750 0.250 0.750
0.750 0.750 0.250
```

**Total moment**: 0.000 μB/atom
**SG**: No. 216
**ΔE_f**: -0.5675 eV/atom
**Crystal system**: cubic


Copy entry 2 word for word.
DFT (PBE) results for an optimized crystal structure of DyYInRh.

POSCAR file:
```
DyYInRh
1.0
7.215 0.000 0.000
0.000 7.215 0.000
0.000 0.000 7.215
Dy Y In Rh
4 4 4 4
direct
0.000 0.000 0.000
0.000 0.500 0.500
0.500 0.000 0.500
0.500 0.500 0.000
0.000 0.000 0.500
0.000 0.500 0.000
0.500 0.000 0.000
0.500 0.500 0.500
0.250 0.250 0.750
0.250 0.750 0.250
0.750 0.250 0.250
0.750 0.750 0.750
0.250 0.250 0.250
0.250 0.750 0.750
0.750 0.250 0.750
0.750 0.750 0.250
```

**Total moment**: 0.000 μB/atom
**SG**: No. 216
**ΔE_f**: -0.5675 eV/atom
**Crystal system**: cubic


> Look up the total moment of the first one.

0.151 μB/atom